VASP calculation (PBE) on crystalline Ac2PbS4 at its relaxed geometry.

```
14
Lattice="7.369 0.000 -2.613 -3.682 6.387 -2.602 -0.005 0.000 7.818" Properties=species:S:1:pos:R:3 pbc="T T T"
Ac -0.506 5.665 2.669
Ac 6.029 0.723 1.235
Ac 2.344 2.471 2.542
Ac -0.503 3.916 -1.241
S 1.810 4.787 -3.419
S -2.356 5.745 0.286
S 1.807 4.794 0.491
S 3.165 0.643 0.286
S 4.747 1.593 4.143
S 5.010 3.836 1.581
S -0.519 2.551 1.593
S 1.063 1.600 5.449
Pb 3.684 3.194 -1.307
Pb 0.000 0.000 0.000
```

## Properties
As for the uncorrected formation energy: -11.9 eV/f.u. The space group is No. 122. As for the density of states at the Fermi level: 0.00 states/eV/f.u. The crystal system is tetragonal. The calculation puts the energy relative to the lowest polymorph listed for this composition at 0.000 eV per atom.